This record from the Alexandria database describes an optimized crystal structure of Tm7Hg2Te2. The functional is PBE-GGA.

abc: 4.303 9.109 9.109
angles: 63.06 76.34 76.34
Atoms (fractional coordinates):
Tm (0.816, 0.081, 0.288)
Tm (0.139, 0.126, 0.597)
Tm (0.861, 0.403, 0.874)
Tm (0.184, 0.712, 0.919)
Tm (0.500, 0.014, 0.986)
Tm (0.627, 0.485, 0.261)
Tm (0.373, 0.739, 0.515)
Te (0.500, 0.359, 0.641)
Te (0.000, 0.752, 0.248)
Hg (0.732, 0.859, 0.676)
Hg (0.268, 0.324, 0.141)

Summary:
Polymorph energy (0 for the lowest one)   0.0 meV per atom
Formation energy without anion corrections   -632 meV per atom
D(E_F)   0.858 states/eV per atom
Electronic total energy   -4.10 eV per atom